ZrBeOsPb | PBE-GGA | relaxed

a = 4.655 Å, b = 4.655 Å, c = 4.655 Å
α = 60.00°, β = 60.00°, γ = 60.00°
Positions (direct):
Zr1 0.250 0.250 0.250
Be1 0.750 0.750 0.750
Os1 0.000 0.000 0.000
Pb1 0.500 0.500 0.500

Output
Density   11.588 g/cm3
Final energy   -0.2349 Ha/atom

---

BeOsPd2 | PBE-GGA | relaxed

a = 4.242 Å, b = 4.242 Å, c = 4.242 Å
α = 60.00°, β = 60.00°, γ = 60.00°
Positions (direct):
Pd1 0.000 0.000 0.000
Pd2 0.750 0.750 0.750
Be1 0.500 0.500 0.500
Os1 0.250 0.250 0.250

Output
Density   12.678 g/cm3
Final energy   -0.2220 Ha/atom

---

Copy entry 1 word for word.
ZrBeOsPb | PBE-GGA | relaxed

a = 4.655 Å, b = 4.655 Å, c = 4.655 Å
α = 60.00°, β = 60.00°, γ = 60.00°
Positions (direct):
Zr1 0.250 0.250 0.250
Be1 0.750 0.750 0.750
Os1 0.000 0.000 0.000
Pb1 0.500 0.500 0.500

Output
Density   11.588 g/cm3
Final energy   -0.2349 Ha/atom

---

Which formula does entry 1 have? ZrBeOsPb

---

Which formula does entry 1 have? ZrBeOsPb